(1)
## RbLiI2 (PBE-GGA)

Data for a relaxed RbLiI2 crystal.

Properties
ΔE_f (raw) in eV/f.u.: -5.3

CIF file:
```
data_RbLiI2
_space_group_name_H-M_alt 'P n m a'
_space_group_IT_number 62
_space_group_name_Hall '-P 2ac 2n'
_cell_length_a 8.717
_cell_length_b 4.779
_cell_length_c 16.232
_cell_angle_alpha 90.00
_cell_angle_beta 90.00
_cell_angle_gamma 90.00
loop_
_atom_site_label
_atom_site_type_symbol
_atom_site_fract_x
_atom_site_fract_y
_atom_site_fract_z
Rb1 Rb 0.133 0.250 0.148
Li1 Li 0.053 0.750 0.418
I1 I 0.086 0.250 0.731
I2 I 0.207 0.250 0.470
```


(2)
## RbCo3Os (PBE-GGA)

Data for a relaxed RbCo3Os crystal.

Properties
Formation energy in meV per atom: 2990
Energy above the lowest structure with this stoichiometry in eV/atom: 1.642

CIF file:
```
data_RbCo3Os
_space_group_name_H-M_alt 'P m -3 m'
_space_group_IT_number 221
_space_group_name_Hall '-P 4 2 3'
_cell_length_a 4.451
_cell_length_b 4.451
_cell_length_c 4.451
_cell_angle_alpha 90.00
_cell_angle_beta 90.00
_cell_angle_gamma 90.00
loop_
_atom_site_label
_atom_site_type_symbol
_atom_site_fract_x
_atom_site_fract_y
_atom_site_fract_z
Rb1 Rb 0.000 0.000 0.000
Co1 Co 0.000 0.000 0.500
Os1 Os 0.500 0.500 0.500
```


- What is the formula in the first record?
  RbLiI2